1.
The following is a DFT calculation (PBE-GGA) of a geometry-optimized CaLa2ZnC structure.

Computed properties:
**Space group**: P4/mmm
**Formation enthalpy at 0 K**: -24 meV per atom
**Crystal system**: tetragonal

Cell lengths 5.1819, 5.1819, 5.0409 Å; angles 90.00, 90.00, 90.00 degrees
Last column: nearest neighbours and their distance in Å.
Fractional positions:
La1 0.5000 0.0000 0.0000  2 C 2.59
Zn1 0.5000 0.5000 0.5000  8 La 3.61, 4 Ca 3.66
Ca1 0.0000 0.0000 0.5000  2 C 2.52
C1 0.0000 0.0000 0.0000  2 Ca 2.52, 4 La 2.59
La2 0.0000 0.5000 0.0000  2 C 2.59

---

2.
The following is a DFT calculation (PBE-GGA) of a geometry-optimized LiCa2C structure.

Computed properties:
**Space group**: I-42d
**Formation enthalpy at 0 K**: 301 meV per atom
**Crystal system**: tetragonal

Cell lengths 9.7169, 9.7169, 7.1745 Å; angles 47.38, 47.38, 90.00 degrees
Last column: nearest neighbours and their distance in Å.
Fractional positions:
C1 0.7500 0.2500 0.5000  2 Li 2.07
Ca1 0.8750 0.0674 0.7500  2 C 2.55
C2 0.0000 0.0000 0.0000  2 Li 2.07
Ca2 0.3750 0.1826 0.7500  2 C 2.55
Ca3 0.8174 0.1250 0.2500  2 C 2.55
Li1 0.5000 0.5000 0.0000  2 C 2.07
Ca4 0.9326 0.6250 0.2500  2 C 2.55
Li2 0.2500 0.7500 0.5000  2 C 2.07

---

Density for the records above, in order: 4.850 1.688 g cm⁻³
Total magnetic moment for the records above, in order: 0.08 1.50 μB per cell